1.
VASP calculation (PBE) on La2GaRu2 after structural relaxation.

The structure belongs to space group C2/c (No. 15); the cell edges are 10.190, 5.685 and 8.045 Å and the angles 90.00°, 107.74° and 90.00°. The asymmetric unit holds La at (0.146, 0.149, 0.145), Ga at (0.000, 0.393, 0.750) and Ru at (0.136, 0.345, 0.525).

The total magnetic moment comes out at 0.0 μB/f.u.

=====

2.
VASP calculation (PBE) on La3Ga9Ru2 after structural relaxation.

The structure belongs to space group Immm (No. 71); the cell edges are 4.405, 9.601 and 12.925 Å and the angles 90.00°, 90.00° and 90.00°. The asymmetric unit holds La at (0.000, 0.000, 0.000), La at (0.000, 0.000, 0.301), Ga at (0.000, 0.282, 0.127), Ga at (0.000, 0.359, 0.348), Ga at (0.000, 0.500, 0.000) and Ru at (0.000, 0.177, 0.500).

The total magnetic moment comes out at 0.0 μB/f.u.

=====

| no. | energy relative to the elements (kJ per mole of atoms) |
| --- | --- |
| 1 | -41 |
| 2 | -55 |